Compound: SrAl2Cd
Source: Alexandria via LeMat-Bulk
Functional: PBE
Structure: relaxed

The space group is Pm (No. 6) and the conventional cell measures 3.6919, 4.5216 and 6.4311 Å, with angles of 90.00, 106.30 and 90.00 degrees. The inequivalent atoms are Sr at (0.0000, 0.0000, 0.0000), Al at (0.6240, 0.5000, 0.2534), Al at (0.7313, 0.0000, 0.4733) and Cd at (0.3217, 0.5000, 0.6448).

The calculation puts the spin magnetization at 0.00 μB per atom. The total energy is -0.094 hartree per atom.


Compound: Sr2AlCd
Source: Alexandria via LeMat-Bulk
Functional: PBE
Structure: relaxed

The space group is C2/m (No. 12) and the conventional cell measures 10.1888, 4.2141 and 7.0267 Å, with angles of 90.00, 104.94 and 90.00 degrees. The inequivalent atoms are Sr at (0.2481, 0.0000, 0.2387), Al at (0.0000, 0.5000, 0.0000) and Cd at (0.0000, 0.0000, 0.5000).

The calculation puts the spin magnetization at 0.00 μB per atom. The total energy is -0.073 hartree per atom.


Compound: Sr2AlCd
Source: Alexandria via LeMat-Bulk
Functional: PBE
Structure: relaxed

The space group is F-43m (No. 216) and the conventional cell measures 7.8608, 7.8608 and 7.8608 Å, with angles of 90.00, 90.00 and 90.00 degrees. The inequivalent atoms are Sr at (0.0000, 0.0000, 0.0000), Sr at (0.2500, 0.2500, 0.2500), Al at (0.0000, 0.0000, 0.5000) and Cd at (0.2500, 0.2500, 0.7500).

The calculation puts the spin magnetization at 0.00 μB per atom. The total energy is -0.073 hartree per atom.


Compound: SrAl2Cd4
Source: Alexandria via LeMat-Bulk
Functional: PBE
Structure: relaxed

The space group is Cmmm (No. 65) and the conventional cell measures 4.6005, 15.7528 and 4.5915 Å, with angles of 90.00, 90.00 and 90.00 degrees. The inequivalent atoms are Sr at (0.0000, 0.0000, 0.0000), Al at (0.0000, 0.4176, 0.5000), Cd at (0.0000, 0.1806, 0.5000) and Cd at (0.0000, 0.3174, 0.0000).

The calculation puts the spin magnetization at 0.00 μB per atom. The total energy is -0.073 hartree per atom.


Compound: SrAl2Cd
Source: Alexandria via LeMat-Bulk
Functional: PBE
Structure: relaxed

The space group is Pmmm (No. 47) and the conventional cell measures 3.5559, 3.8294 and 7.3618 Å, with angles of 90.00, 90.00 and 90.00 degrees. The inequivalent atoms are Sr at (0.0000, 0.0000, 0.0000), Al at (0.5000, 0.5000, 0.3111) and Cd at (0.0000, 0.0000, 0.5000).

The calculation puts the spin magnetization at 0.00 μB per atom. The total energy is -0.094 hartree per atom.


Compound: Sr2AlCd
Source: Alexandria via LeMat-Bulk
Functional: PBE
Structure: relaxed

The space group is I-4m2 (No. 119) and the conventional cell measures 4.9762, 4.9762 and 10.2239 Å, with angles of 90.00, 90.00 and 90.00 degrees. The inequivalent atoms are Sr at (0.0000, 0.0000, 0.0000), Sr at (0.0000, 0.5000, 0.2500), Al at (0.0000, 0.5000, 0.7500) and Cd at (0.0000, 0.0000, 0.5000).

The calculation puts the spin magnetization at 0.00 μB per atom. The total energy is -0.075 hartree per atom.


Compound: Sr2AlCd7
Source: Alexandria via LeMat-Bulk
Functional: PBE
Structure: relaxed

The space group is P-4m2 (No. 115) and the conventional cell measures 4.6165, 4.6165 and 12.5709 Å, with angles of 90.00, 90.00 and 90.00 degrees. The inequivalent atoms are Sr at (0.0000, 0.5000, 0.2433), Al at (0.5000, 0.5000, 0.0000), Cd at (0.0000, 0.0000, 0.0000), Cd at (0.0000, 0.0000, 0.5000), Cd at (0.0000, 0.5000, 0.6439), Cd at (0.0000, 0.5000, 0.8673) and Cd at (0.5000, 0.5000, 0.5000).

The calculation puts the spin magnetization at 0.00 μB per atom. The total energy is -0.058 hartree per atom.


Compound: SrAl2Cd9
Source: Alexandria via LeMat-Bulk
Functional: PBE
Structure: relaxed

The space group is I4_1/amd (No. 141, origin choice 2) and the conventional cell measures 11.8622, 11.8622 and 7.9251 Å, with angles of 90.00, 90.00 and 90.00 degrees. The inequivalent atoms are Sr at (0.0000, 0.2500, 0.3750), Al at (0.0000, 0.0000, 0.0000), Cd at (0.0000, 0.2500, 0.8750) and Cd at (0.1214, 0.0511, 0.6736).

The calculation puts the spin magnetization at 0.00 μB per atom. The total energy is -0.056 hartree per atom.


Compound: Sr2AlCd5
Source: Alexandria via LeMat-Bulk
Functional: PBE
Structure: relaxed

The space group is Cmcm (No. 63) and the conventional cell measures 4.9403, 17.8912 and 10.0418 Å, with angles of 90.00, 90.00 and 90.00 degrees. The inequivalent atoms are Sr at (0.0000, 0.0000, 0.0000), Sr at (0.0000, 0.1992, 0.2500), Al at (0.0000, 0.4439, 0.7500), Cd at (0.0000, 0.1885, 0.6055), Cd at (0.0000, 0.3550, 0.5287) and Cd at (0.0000, 0.4041, 0.2500).

The calculation puts the spin magnetization at 0.00 μB per atom. The total energy is -0.063 hartree per atom.


Compound: Sr2AlCd
Source: Alexandria via LeMat-Bulk
Functional: PBE
Structure: relaxed

The space group is I-42d (No. 122) and the conventional cell measures 8.9325, 8.9325 and 7.4373 Å, with angles of 90.00, 90.00 and 90.00 degrees. The inequivalent atoms are Sr at (0.2448, 0.7500, 0.1250), Al at (0.0000, 0.0000, 0.0000) and Cd at (0.0000, 0.0000, 0.5000).

The calculation puts the spin magnetization at 0.00 μB per atom. The total energy is -0.069 hartree per atom.


Compound: Sr3Al2Cd4
Source: Alexandria via LeMat-Bulk
Functional: PBE
Structure: relaxed

The space group is C2/m (No. 12) and the conventional cell measures 11.7598, 4.9722 and 9.4905 Å, with angles of 90.00, 112.23 and 90.00 degrees. The inequivalent atoms are Sr at (0.0000, 0.0000, 0.0000), Sr at (0.1490, 0.5000, 0.6770), Al at (0.1397, 0.5000, 0.3058), Cd at (0.0875, 0.0000, 0.4111) and Cd at (0.2182, 0.5000, 0.0637).

The calculation puts the spin magnetization at 0.00 μB per atom. The total energy is -0.077 hartree per atom.


Compound: Sr2AlCd
Source: Alexandria via LeMat-Bulk
Functional: PBE
Structure: relaxed

The space group is P2/m (No. 10) and the conventional cell measures 3.9984, 4.0157 and 8.0224 Å, with angles of 90.00, 90.13 and 90.00 degrees. The inequivalent atoms are Sr at (0.0001, 0.0000, 0.2406), Al at (0.5000, 0.5000, 0.0000) and Cd at (0.5000, 0.5000, 0.5000).

The calculation puts the spin magnetization at 0.00 μB per atom. The total energy is -0.081 hartree per atom.